1.
Material: PmBeAs3
Method: DFT, PBE
State: optimized geometry

Fermi-level density of states   0.490 states/eV per atom
Formation energy   -0.223 eV per atom

Lattice parameters (Å, degrees): 4.640 4.640 4.640 90.00 90.00 90.00
Fractional coordinates of all 5 atoms:
Pm 0.000 0.000 0.000
Be 0.500 0.500 0.500
As 0.000 0.500 0.500
As 0.500 0.000 0.500
As 0.500 0.500 0.000

2.
Material: TbCo3GeB
Method: DFT, PBE
State: optimized geometry

Fermi-level density of states   1.009 states/eV per atom
Formation energy   -0.330 eV per atom

Lattice parameters (Å, degrees): 6.158 6.158 5.554 90.00 90.00 128.68
Fractional coordinates of all 12 atoms:
Tb 0.235 0.765 0.750
Tb 0.765 0.235 0.250
Co 0.251 0.251 0.000
Co 0.251 0.251 0.500
Co 0.337 0.663 0.250
Co 0.663 0.337 0.750
Co 0.749 0.749 0.000
Co 0.749 0.749 0.500
Ge 0.130 0.870 0.250
Ge 0.870 0.130 0.750
B 0.486 0.514 0.750
B 0.514 0.486 0.250

3.
Material: LuMnCu2
Method: DFT, PBE
State: optimized geometry

Fermi-level density of states   0.415 states/eV per atom
Formation energy   -0.028 eV per atom
Energy above the lowest structure with this stoichiometry   0.68 kcal/mol of atoms

Lattice parameters (Å, degrees): 3.235 3.235 6.248 90.00 90.00 90.00
Fractional coordinates of all 4 atoms:
Lu 0.000 0.000 0.000
Mn 0.000 0.000 0.500
Cu 0.500 0.500 0.291
Cu 0.500 0.500 0.709

4.
Material: TmPuMnTc
Method: DFT, PBE
State: optimized geometry

Fermi-level density of states   1.672 states/eV per atom
Formation energy   0.028 eV per atom

Lattice parameters (Å, degrees): 4.771 4.771 4.771 60.00 60.00 60.00
Fractional coordinates of all 4 atoms:
Tm 0.000 0.000 0.000
Pu 0.500 0.500 0.500
Mn 0.250 0.250 0.250
Tc 0.750 0.750 0.750

5.
Material: MnTlAs3
Method: DFT, PBE
State: optimized geometry

Fermi-level density of states   0.775 states/eV per atom
Formation energy   0.282 eV per atom
Energy above the lowest structure with this stoichiometry   0.00 kcal/mol of atoms

Lattice parameters (Å, degrees): 4.784 4.784 4.784 90.00 90.00 90.00
Fractional coordinates of all 5 atoms:
Mn 0.000 0.000 0.000
Tl 0.500 0.500 0.500
As 0.000 0.000 0.500
As 0.000 0.500 0.000
As 0.500 0.000 0.000

6.
Material: HfZrSiAs2
Method: DFT, PBE
State: optimized geometry

Fermi-level density of states   0.868 states/eV per atom
Energy relative to the elements, uncorrected   0.80 eV per atom

Lattice parameters (Å, degrees): 4.986 4.986 5.450 90.00 90.00 90.00
Fractional coordinates of all 5 atoms:
Hf 0.000 0.000 0.000
Zr 0.000 0.000 0.500
Si 0.500 0.500 0.500
As 0.000 0.500 0.000
As 0.500 0.000 0.000

7.
Material: Mg6Cd12Ga
Method: DFT, PBE
State: optimized geometry

Fermi-level density of states   0.388 states/eV per atom
Formation energy   -0.045 eV per atom
Energy above the lowest structure with this stoichiometry   0.00 kcal/mol of atoms

Lattice parameters (Å, degrees): 7.487 7.487 7.487 89.89 89.89 89.89
Fractional coordinates of all 19 atoms:
Mg 0.232 0.383 0.763
Mg 0.237 0.768 0.617
Mg 0.383 0.763 0.232
Mg 0.617 0.237 0.768
Mg 0.763 0.232 0.383
Mg 0.768 0.617 0.237
Cd 0.026 0.933 0.302
Cd 0.067 0.698 0.974
Cd 0.123 0.452 0.349
Cd 0.302 0.026 0.933
Cd 0.349 0.123 0.452
Cd 0.452 0.349 0.123
Cd 0.548 0.651 0.877
Cd 0.651 0.877 0.548
Cd 0.698 0.974 0.067
Cd 0.877 0.548 0.651
Cd 0.933 0.302 0.026
Cd 0.974 0.067 0.698
Ga 0.500 0.500 0.500

8.
Material: HgCS2N
Method: DFT, PBE
State: optimized geometry

Fermi-level density of states   0.598 states/eV per atom
Energy relative to the elements, uncorrected   2.76 eV per atom
Energy above the lowest structure with this stoichiometry   46.58 kcal/mol of atoms

Lattice parameters (Å, degrees): 5.123 5.123 4.209 90.00 90.00 90.00
Fractional coordinates of all 5 atoms:
Hg 0.000 0.000 0.000
C 0.500 0.500 0.500
S 0.000 0.500 0.000
S 0.500 0.000 0.000
N 0.000 0.000 0.500

Sequential total magnetization output: 0.00; 0.28; 4.00; 1.67; 1.64; 0.00; 0.00; 1.95 μB/f.u.